Entry 1:
# LuZrInPb | Alexandria | PBE | optimized geometry
data_LuZrInPb
_cell_length_a 7.347
_cell_length_b 7.347
_cell_length_c 7.347
_cell_angle_alpha 90.00
_cell_angle_beta 90.00
_cell_angle_gamma 90.00
_space_group_name_H-M_alt 'F -4 3 m'
_space_group_IT_number 216
_space_group_name_Hall 'F -4 2 3'
loop_
_atom_site_label
_atom_site_type_symbol
_atom_site_fract_x
_atom_site_fract_y
_atom_site_fract_z
Lu1 Lu 0.000 0.000 0.000
Zr1 Zr 0.000 0.000 0.500
In1 In 0.250 0.250 0.750
Pb1 Pb 0.250 0.250 0.250
# Energy = -5.01 eV per atom
# Energy relative to the elements = -0.131 eV/atom

=====

Entry 2:
# Tl5Bi2Sb4 | Alexandria | PBE | optimized geometry
data_Tl5Bi2Sb4
_cell_length_a 27.245
_cell_length_b 4.135
_cell_length_c 6.636
_cell_angle_alpha 90.00
_cell_angle_beta 90.53
_cell_angle_gamma 90.00
_space_group_name_H-M_alt 'C 1 2/m 1'
_space_group_IT_number 12
loop_
_space_group_symop_operation_xyz
'x,y,z'
'-x,-y,-z'
'-x,y,-z'
'x,-y,z'
'x+1/2,y+1/2,z'
'-x+1/2,-y+1/2,-z'
'-x+1/2,y+1/2,-z'
'x+1/2,-y+1/2,z'
loop_
_atom_site_label
_atom_site_type_symbol
_atom_site_fract_x
_atom_site_fract_y
_atom_site_fract_z
Tl1 Tl 0.000 0.000 0.000
Tl2 Tl 0.130 0.500 0.988
Tl3 Tl 0.184 0.500 0.527
Bi1 Bi 0.224 0.000 0.135
Sb1 Sb 0.047 0.500 0.620
Sb2 Sb 0.094 0.000 0.375
# Formation energy from raw total energies = 0.49 eV/f.u.
# Energy = -3.24 eV per atom

=====

Entry 3:
# TaTc2Ir | Alexandria | PBE | optimized geometry
data_TaTc2Ir
_cell_length_a 9.295
_cell_length_b 2.795
_cell_length_c 4.825
_cell_angle_alpha 90.00
_cell_angle_beta 99.76
_cell_angle_gamma 90.00
_space_group_name_H-M_alt 'C 1 2/m 1'
_space_group_IT_number 12
loop_
_space_group_symop_operation_xyz
'x,y,z'
'-x,-y,-z'
'-x,y,-z'
'x,-y,z'
'x+1/2,y+1/2,z'
'-x+1/2,-y+1/2,-z'
'-x+1/2,y+1/2,-z'
'x+1/2,-y+1/2,z'
loop_
_atom_site_label
_atom_site_type_symbol
_atom_site_fract_x
_atom_site_fract_y
_atom_site_fract_z
Ta1 Ta 0.000 0.000 0.000
Tc1 Tc 0.241 0.000 0.737
Ir1 Ir 0.000 0.500 0.500
# Relative energy among the computed polymorphs = 91 meV/atom
# Energy = -10.53 eV per atom
# Energy relative to the elements = -0.171 eV/atom